1.
Density functional theory data (PBE) for crystalline UCoB4 at its relaxed geometry.

Its magnetic moment is 0.20 μB/f.u. Its final energy is -8.025 eV/atom.

The space group is Pbam (No. 55) and the conventional cell measures 5.887, 11.413 and 3.365 Å, with angles of 90.00, 90.00 and 90.00 degrees. Symmetry generates all atoms from U at (0.127, 0.150, 0.000), Co at (0.131, 0.413, 0.000), B at (0.026, 0.692, 0.500), B at (0.113, 0.547, 0.500), B at (0.135, 0.966, 0.500) and B at (0.217, 0.813, 0.500).

***

2.
Density functional theory data (PBE) for crystalline NaPmNO at its relaxed geometry.

Its offset from the most stable computed form is 0 meV per atom. Its magnetic moment is 0.79 μB/f.u. Its final energy is -6.135 eV/atom.

The space group is Pmma (No. 51) and the conventional cell measures 4.793, 3.954 and 7.353 Å, with angles of 90.00, 90.00 and 90.00 degrees. Symmetry generates all atoms from Na at (0.250, 0.000, 0.144), Pm at (0.250, 0.500, 0.687), N at (0.250, 0.500, 0.363) and O at (0.250, 0.000, 0.833).

***

3.
Density functional theory data (PBE) for crystalline IrOF2 at its relaxed geometry.

Its offset from the most stable computed form is 156 meV per atom. Its magnetic moment is 0.00 μB/f.u. Its final energy is -5.301 eV/atom.

The space group is C2/m (No. 12) and the conventional cell measures 8.967, 3.732 and 6.045 Å, with angles of 90.00, 110.71 and 90.00 degrees. Symmetry generates all atoms from Ir at (0.001, 0.000, 0.250), O at (0.001, 0.500, 0.741), F at (0.161, 0.000, 0.084) and F at (0.161, 0.000, 0.585).